(1)
The following is a DFT calculation (PBE-GGA) of an optimized crystal structure of Mo4IBrN2.

Computed properties:
* DFT total energy: -7.622 eV per atom

Cell lengths 3.310, 3.310, 13.283 Å; angles 90.00, 90.00, 120.00 degrees
Atoms (fractional coordinates):
Mo: 0.000 0.000 0.175
Mo: 0.000 0.000 0.825
Mo: 0.667 0.333 0.321
Mo: 0.667 0.333 0.679
I: 0.000 0.000 0.500
Br: 0.667 0.333 0.000
N: 0.333 0.667 0.233
N: 0.333 0.667 0.767

(2)
The following is a DFT calculation (PBE-GGA) of an optimized crystal structure of KPmAu.

Computed properties:
* energy above the most stable polymorph in this dataset: 0.344 eV per atom

Cell lengths 5.140, 5.140, 5.140 Å; angles 60.00, 60.00, 60.00 degrees
Atoms (fractional coordinates):
K: 0.000 0.000 0.000
Pm: 0.750 0.750 0.750
Au: 0.500 0.500 0.500

(3)
The following is a DFT calculation (PBE-GGA) of an optimized crystal structure of Sm3NiSn3Pd2.

Computed properties:
* DFT total energy: -5.531 eV per atom

Cell lengths 7.584, 7.584, 4.015 Å; angles 90.00, 90.00, 120.00 degrees
Atoms (fractional coordinates):
Sm: 0.000 0.406 0.000
Sm: 0.406 0.000 0.000
Sm: 0.594 0.594 0.000
Ni: 0.000 0.000 0.000
Sn: 0.000 0.754 0.500
Sn: 0.246 0.246 0.500
Sn: 0.754 0.000 0.500
Pd: 0.333 0.667 0.500
Pd: 0.667 0.333 0.500

(4)
The following is a DFT calculation (PBE-GGA) of an optimized crystal structure of YCuSi2.

Computed properties:
* DFT total energy: -5.213 eV per atom

Cell lengths 4.631, 4.631, 4.631 Å; angles 60.00, 60.00, 60.00 degrees
Atoms (fractional coordinates):
Y: 0.000 0.000 0.000
Cu: 0.250 0.250 0.250
Si: 0.500 0.500 0.500
Si: 0.750 0.750 0.750

(5)
The following is a DFT calculation (PBE-GGA) of an optimized crystal structure of InAuS2.

Computed properties:
* DFT total energy: -3.934 eV per atom

Cell lengths 7.786, 7.786, 5.680 Å; angles 111.21, 111.21, 42.85 degrees
Atoms (fractional coordinates):
In: 0.250 0.250 0.250
In: 0.750 0.750 0.750
Au: 0.111 0.111 0.612
Au: 0.889 0.889 0.388
S: 0.154 0.579 0.078
S: 0.421 0.846 0.922
S: 0.579 0.154 0.653
S: 0.846 0.421 0.347

(6)
The following is a DFT calculation (PBE-GGA) of an optimized crystal structure of LiHfZnCu.

Computed properties:
* energy above the most stable polymorph in this dataset: 0.000 eV per atom

Cell lengths 4.343, 4.343, 4.343 Å; angles 60.00, 60.00, 60.00 degrees
Atoms (fractional coordinates):
Li: 0.000 0.000 0.000
Hf: 0.750 0.750 0.750
Zn: 0.250 0.250 0.250
Cu: 0.500 0.500 0.500

Number 1: density 8.1 g cm⁻³. Number 2: density 6.6 g cm⁻³. Number 3: density 9.0 g cm⁻³. Number 4: density 4.9 g cm⁻³. Number 5: density 5.8 g cm⁻³. Number 6: density 9.0 g cm⁻³.